TlInSn2Se6: optimized geometry, PBE.

The structure in CIF format:
```
data_TlInSn2Se6
_cell_length_a 14.078
_cell_length_b 14.348
_cell_length_c 7.613
_cell_angle_alpha 90.00
_cell_angle_beta 111.54
_cell_angle_gamma 90.00
_symmetry_space_group_name_H-M 'C 1 2/c 1'
_symmetry_Int_Tables_number 15
_symmetry_space_group_name_Hall '-C 2yc'
loop_
_atom_site_label
_atom_site_type_symbol
_atom_site_fract_x
_atom_site_fract_y
_atom_site_fract_z
_atom_site_occupancy
Tl1 Tl 0.000 0.126 0.250 1
In1 In 0.000 0.214 0.750 1
Sn1 Sn 0.195 0.427 0.181 1
Se1 Se 0.109 0.069 0.691 1
Se2 Se 0.124 0.434 0.457 1
Se3 Se 0.133 0.260 0.078 1
```

Output
- magnetization (μB per formula unit) = 0.00
- energy relative to the elements, uncorrected (eV per atom) = -0.31
- theoretical density (g cm⁻³) = 4.78